No. 1
LiZn5, optimized geometry, DFT GGA-PBE; energy of formation = -0.100 eV per atom; V = 175.70 Å³/cell; DOS at the Fermi energy = 0.17 states/eV/atom
1.0
9.900 0.000 0.000
0.000 2.759 0.000
-1.409 0.000 6.433
Li Zn
2 10
Cartesian
0.000 0.000 0.000 Li
4.950 1.380 0.000 Li
-0.333 0.000 4.009 Zn
1.131 1.380 2.118 Zn
0.892 1.380 6.099 Zn
2.329 0.000 4.261 Zn
3.439 0.000 1.743 Zn
4.616 1.380 4.009 Zn
6.081 0.000 2.118 Zn
5.842 0.000 6.099 Zn
7.279 1.380 4.261 Zn
8.389 1.380 1.743 Zn


No. 2
Ba14MnBi11, optimized geometry, DFT GGA-PBE; energy of formation = -0.880 eV per atom; V = 4435.29 Å³/cell; DOS at the Fermi energy = 0.51 states/eV/atom
1.0
-9.467 9.467 12.372
9.467 -9.467 12.372
9.467 9.467 -12.372
Ba Mn Bi
56 4 44
Cartesian
7.098 5.124 -6.222 Ba
7.098 -4.342 6.222 Ba
15.939 -1.290 2.311 Ba
3.444 -1.738 3.875 Ba
10.301 -1.369 4.263 Ba
14.200 2.031 0.000 Ba
9.076 -7.103 12.336 Ba
9.858 2.364 0.036 Ba
6.102 3.899 -1.923 Ba
6.472 1.290 2.311 Ba
12.831 5.568 -1.923 Ba
0.834 1.369 4.263 Ba
12.910 1.738 3.875 Ba
6.764 9.467 -6.186 Ba
6.764 0.000 6.186 Ba
3.444 7.729 -3.875 Ba
10.301 8.098 -4.263 Ba
3.365 3.899 1.923 Ba
6.472 -1.290 10.061 Ba
6.102 -3.899 14.295 Ba
0.391 7.103 -0.036 Ba
9.076 7.103 0.036 Ba
4.733 7.436 0.000 Ba
10.301 1.369 8.109 Ba
3.444 1.738 8.498 Ba
6.472 10.757 -2.311 Ba
7.098 4.342 6.150 Ba
-2.369 4.342 6.222 Ba
11.836 5.124 6.150 Ba
2.369 5.124 6.222 Ba
2.995 -1.290 14.684 Ba
6.023 7.729 3.875 Ba
-0.834 8.098 4.263 Ba
4.733 2.031 12.372 Ba
0.391 2.364 12.336 Ba
9.076 2.364 12.408 Ba
3.365 13.366 -1.923 Ba
2.995 10.757 2.311 Ba
6.102 5.568 10.449 Ba
-0.834 1.369 16.635 Ba
6.023 1.738 16.247 Ba
2.703 9.467 6.186 Ba
2.703 0.000 18.558 Ba
-3.444 7.729 8.498 Ba
8.633 8.098 8.109 Ba
-3.365 3.899 14.295 Ba
2.995 8.177 10.061 Ba
3.365 5.568 14.295 Ba
-0.391 7.103 12.336 Ba
0.391 16.570 0.036 Ba
-4.733 7.436 12.372 Ba
-0.834 10.836 8.109 Ba
6.023 11.205 8.498 Ba
-6.472 10.757 10.061 Ba
2.369 13.809 6.150 Ba
2.369 4.342 18.594 Ba
9.467 -4.733 9.279 Mn
9.467 4.733 3.093 Mn
0.000 4.733 9.279 Mn
0.000 14.200 3.093 Mn
6.996 -2.262 3.093 Bi
11.978 -0.481 1.154 Bi
9.423 7.262 -7.841 Bi
2.511 0.481 1.154 Bi
13.719 -2.223 5.032 Bi
9.467 4.733 -3.093 Bi
4.252 -2.223 7.340 Bi
6.939 -4.777 10.717 Bi
2.528 4.777 -1.655 Bi
9.423 -2.205 7.841 Bi
16.462 2.262 3.093 Bi
6.996 7.205 -3.093 Bi
9.423 2.205 4.531 Bi
11.995 4.690 1.655 Bi
6.939 4.777 1.655 Bi
4.252 2.223 5.032 Bi
0.000 4.733 3.093 Bi
4.252 11.689 -5.032 Bi
2.511 -0.481 11.219 Bi
-0.044 2.205 7.841 Bi
2.511 9.948 -1.154 Bi
6.996 2.262 9.279 Bi
2.471 7.205 3.093 Bi
6.956 -0.481 13.526 Bi
9.511 7.262 4.531 Bi
6.956 9.948 1.154 Bi
5.215 -2.223 17.405 Bi
9.467 4.733 9.279 Bi
5.215 7.244 7.340 Bi
2.528 4.690 10.717 Bi
-2.528 4.777 10.717 Bi
0.044 7.262 7.841 Bi
2.471 2.262 15.465 Bi
-6.996 7.205 9.279 Bi
0.044 11.672 4.531 Bi
6.939 4.690 14.027 Bi
2.528 14.244 1.655 Bi
5.215 11.689 5.032 Bi
0.000 4.733 15.465 Bi
-4.252 11.689 7.340 Bi
6.956 8.986 11.219 Bi
0.044 2.205 20.214 Bi
-2.511 9.948 11.219 Bi
2.471 11.729 9.279 Bi


No. 3
YMo3, optimized geometry, DFT GGA-PBE; energy of formation = 0.417 eV per atom; V = 165.47 Å³/cell; DOS at the Fermi energy = 0.57 states/eV/atom
1.0
4.128 0.000 0.000
0.000 5.598 0.000
0.000 0.000 7.161
Y Mo
2 6
Cartesian
1.032 1.399 0.445 Y
3.096 4.198 6.715 Y
1.032 2.917 4.649 Mo
1.032 4.198 2.242 Mo
1.032 5.479 4.649 Mo
3.096 0.118 2.511 Mo
3.096 1.399 4.919 Mo
3.096 2.680 2.511 Mo


No. 4
ZnInPd, optimized geometry, DFT GGA-PBE; energy of formation = 0.195 eV per atom; V = 122.38 Å³/cell; DOS at the Fermi energy = 0.39 states/eV/atom
1.0
2.870 0.000 0.000
0.000 2.870 0.000
0.000 0.000 14.860
Zn In Pd
2 2 2
Cartesian
0.000 0.000 0.000 Zn
1.435 1.435 7.430 Zn
0.000 0.000 9.742 In
1.435 1.435 2.312 In
0.000 0.000 12.403 Pd
1.435 1.435 4.973 Pd


No. 5
La4Tb3Pm4, optimized geometry, DFT GGA-PBE; energy of formation = 0.117 eV per atom; V = 392.60 Å³/cell; DOS at the Fermi energy = 1.47 states/eV/atom
1.0
-1.836 4.826 11.080
1.836 -4.826 11.080
1.836 4.826 -11.080
La Tb Pm
4 3 4
Cartesian
1.836 -3.197 7.870 La
0.000 1.629 3.210 La
1.836 3.197 7.870 La
0.000 8.023 3.210 La
1.836 0.000 0.000 Tb
0.000 0.000 8.786 Tb
0.000 0.000 13.373 Tb
1.836 0.000 5.889 Pm
0.000 3.011 0.000 Pm
0.000 6.641 0.000 Pm
0.000 4.826 5.191 Pm


No. 6
MgAg2Pd5, optimized geometry, DFT GGA-PBE; energy of formation = -0.250 eV per atom; V = 257.17 Å³/cell; DOS at the Fermi energy = 1.09 states/eV/atom
1.0
3.996 0.000 0.000
0.000 3.996 0.000
0.000 0.000 16.107
Mg Ag Pd
2 4 10
Cartesian
0.000 0.000 0.000 Mg
1.998 1.998 8.053 Mg
0.000 0.000 4.024 Ag
0.000 0.000 12.083 Ag
1.998 1.998 4.030 Ag
1.998 1.998 12.077 Ag
0.000 0.000 8.053 Pd
0.000 1.998 1.951 Pd
0.000 1.998 6.102 Pd
0.000 1.998 10.005 Pd
0.000 1.998 14.156 Pd
1.998 0.000 1.951 Pd
1.998 0.000 6.102 Pd
1.998 0.000 10.005 Pd
1.998 0.000 14.156 Pd
1.998 1.998 0.000 Pd


No. 7
SrNd4S5, optimized geometry, DFT GGA-PBE; formation energy without anion corrections = -2036 meV per atom; V = 244.35 Å³/cell; DOS at the Fermi energy = 0.29 states/eV/atom
1.0
6.835 -2.041 0.000
6.835 2.041 0.000
-4.978 0.000 8.757
Sr Nd S
1 4 5
Cartesian
0.000 0.000 0.000 Sr
-1.241 0.000 6.920 Nd
2.533 0.000 5.226 Nd
6.160 0.000 3.532 Nd
9.933 0.000 1.838 Nd
-2.489 0.000 4.379 S
1.211 0.000 2.659 S
4.899 0.000 0.871 S
3.793 0.000 7.886 S
7.481 0.000 6.098 S


No. 8
SmTm4Zn5, optimized geometry, DFT GGA-PBE; energy of formation = -0.341 eV per atom; V = 222.82 Å³/cell; DOS at the Fermi energy = 1.03 states/eV/atom
1.0
3.539 0.000 0.000
0.000 3.539 0.000
0.000 0.000 17.786
Sm Tm Zn
1 4 5
Cartesian
0.000 0.000 0.000 Sm
0.000 0.000 3.629 Tm
0.000 0.000 7.143 Tm
0.000 0.000 10.643 Tm
0.000 0.000 14.157 Tm
1.770 1.770 1.933 Zn
1.770 1.770 5.378 Zn
1.770 1.770 8.893 Zn
1.770 1.770 12.408 Zn
1.770 1.770 15.854 Zn


No. 9
AcTmGa, optimized geometry, DFT GGA-PBE; energy of formation = -0.160 eV per atom; V = 394.46 Å³/cell; DOS at the Fermi energy = 1.57 states/eV/atom
1.0
7.334 0.000 0.000
0.000 7.334 0.000
0.000 0.000 7.334
Ac Tm Ga
4 4 4
Cartesian
0.000 0.000 0.000 Ac
0.000 3.667 3.667 Ac
3.667 0.000 3.667 Ac
3.667 3.667 0.000 Ac
0.000 0.000 3.667 Tm
0.000 3.667 0.000 Tm
3.667 0.000 0.000 Tm
3.667 3.667 3.667 Tm
1.833 1.833 1.833 Ga
1.833 5.500 5.500 Ga
5.500 1.833 5.500 Ga
5.500 5.500 1.833 Ga


No. 10
LiPaSnSb, optimized geometry, DFT GGA-PBE; formation energy without anion corrections = -236 meV per atom; V = 391.82 Å³/cell; DOS at the Fermi energy = 1.23 states/eV/atom
1.0
7.318 0.000 0.000
0.000 7.318 0.000
0.000 0.000 7.318
Li Pa Sn Sb
4 4 4 4
Cartesian
0.000 0.000 0.000 Li
0.000 3.659 3.659 Li
3.659 0.000 3.659 Li
3.659 3.659 0.000 Li
0.000 0.000 3.659 Pa
0.000 3.659 0.000 Pa
3.659 0.000 0.000 Pa
3.659 3.659 3.659 Pa
1.829 1.829 5.488 Sn
1.829 5.488 1.829 Sn
5.488 1.829 1.829 Sn
5.488 5.488 5.488 Sn
1.829 1.829 1.829 Sb
1.829 5.488 5.488 Sb
5.488 1.829 5.488 Sb
5.488 5.488 1.829 Sb


No. 11
CsNaCrS3, optimized geometry, DFT GGA-PBE; formation energy without anion corrections = -890 meV per atom; V = 314.03 Å³/cell; DOS at the Fermi energy = 0.69 states/eV/atom
1.0
3.581 -6.530 0.000
3.581 6.530 0.000
0.000 0.000 6.715
Cs Na Cr S
2 2 2 6
Cartesian
3.581 3.294 5.036 Cs
3.581 -3.294 1.679 Cs
3.581 5.565 1.679 Na
3.581 -5.565 5.036 Na
3.581 0.647 1.679 Cr
3.581 -0.647 5.036 Cr
3.581 2.796 1.679 S
2.069 0.000 0.000 S
2.069 0.000 3.358 S
5.093 0.000 0.000 S
5.093 0.000 3.358 S
3.581 -2.796 5.036 S


No. 12
CeTlSnHg, optimized geometry, DFT GGA-PBE; energy of formation = -0.376 eV per atom; V = 106.72 Å³/cell; DOS at the Fermi energy = 1.60 states/eV/atom
1.0
4.619 0.000 0.000
0.000 4.678 0.000
0.000 0.000 4.939
Ce Tl Sn Hg
1 1 1 1
Cartesian
0.000 0.000 0.000 Ce
2.310 0.000 2.469 Tl
2.310 2.339 0.000 Sn
0.000 2.339 2.469 Hg


No. 13
Ac2ZnOsO6, optimized geometry, DFT GGA-PBE; formation energy without anion corrections = -2169 meV per atom; V = 133.00 Å³/cell; DOS at the Fermi energy = 0.44 states/eV/atom
1.0
0.000 4.051 4.051
4.051 0.000 4.051
4.051 4.051 0.000
Ac Zn Os O
2 1 1 6
Cartesian
2.026 2.026 2.026 Ac
6.077 6.077 6.077 Ac
0.000 0.000 0.000 Zn
4.051 4.051 4.051 Os
4.051 4.051 2.047 O
4.051 2.047 4.051 O
6.056 4.051 4.051 O
2.047 4.051 4.051 O
4.051 6.056 4.051 O
4.051 4.051 6.056 O


No. 14
Rb3La2NpTe6, optimized geometry, DFT GGA-PBE; formation energy without anion corrections = -1281 meV per atom; V = 491.77 Å³/cell; DOS at the Fermi energy = 0.41 states/eV/atom
1.0
4.078 -7.066 0.000
4.078 7.066 0.000
-2.726 0.000 8.533
Rb La Np Te
3 2 1 6
Cartesian
0.000 0.000 0.000 Rb
4.078 2.380 0.000 Rb
4.078 -2.380 0.000 Rb
2.715 4.709 4.266 La
2.715 -4.709 4.266 La
2.715 0.000 4.266 Np
1.385 2.315 2.522 Te
0.050 0.000 6.012 Te
1.385 -2.315 2.522 Te
4.045 2.315 6.010 Te
5.380 0.000 2.521 Te
4.045 -2.315 6.010 Te


No. 15
Cr2TcRu, optimized geometry, DFT GGA-PBE; energy of formation = 0.192 eV per atom; V = 52.82 Å³/cell; DOS at the Fermi energy = 1.25 states/eV/atom
1.0
2.613 0.000 0.000
0.000 4.087 0.000
-0.798 0.000 4.947
Cr Tc Ru
2 1 1
Cartesian
0.269 0.000 1.200 Cr
1.545 0.000 3.747 Cr
-0.399 2.043 2.474 Tc
1.306 2.043 0.000 Ru


No. 16
Ba2NaLiSi, optimized geometry, DFT GGA-PBE; formation energy without anion corrections = -56 meV per atom; V = 216.08 Å³/cell; DOS at the Fermi energy = 0.55 states/eV/atom
1.0
6.537 0.000 0.000
0.000 6.537 0.000
0.000 0.000 5.057
Ba Na Li Si
2 1 1 1
Cartesian
0.000 3.268 0.000 Ba
3.268 0.000 0.000 Ba
0.000 0.000 2.528 Na
3.268 3.268 2.528 Li
3.268 3.268 0.000 Si


No. 17
PmZnTe2, optimized geometry, DFT GGA-PBE; formation energy without anion corrections = -689 meV per atom; V = 465.31 Å³/cell; DOS at the Fermi energy = 0.69 states/eV/atom
1.0
4.517 0.000 0.000
-2.259 3.912 0.000
0.000 0.000 26.328
Pm Zn Te
3 3 6
Cartesian
-1.515 2.624 8.776 Pm
0.744 1.288 0.000 Pm
3.030 0.000 17.552 Pm
-1.472 2.549 21.940 Zn
0.787 1.363 13.164 Zn
2.944 0.000 4.388 Zn
-1.488 2.612 19.332 Te
0.741 1.318 10.556 Te
0.771 1.300 15.773 Te
0.747 3.895 1.780 Te
3.006 0.017 6.996 Te
2.999 2.595 24.549 Te


No. 18
Ti8CoGe2, optimized geometry, DFT GGA-PBE; energy of formation = -0.285 eV per atom; V = 178.65 Å³/cell; DOS at the Fermi energy = 1.04 states/eV/atom
1.0
7.824 -2.043 0.000
7.824 2.043 0.000
-0.733 0.000 5.588
Ti Co Ge
8 1 2
Cartesian
-0.130 0.000 1.367 Ti
3.230 0.000 1.924 Ti
4.796 0.000 5.276 Ti
6.006 0.000 2.640 Ti
8.908 0.000 2.948 Ti
10.119 0.000 0.312 Ti
11.685 0.000 3.664 Ti
15.044 0.000 4.222 Ti
7.824 0.000 0.000 Co
2.193 0.000 4.377 Ge
12.722 0.000 1.212 Ge


No. 19
Ce5AgSn3, optimized geometry, DFT GGA-PBE; energy of formation = -0.498 eV per atom; V = 512.78 Å³/cell; DOS at the Fermi energy = 2.43 states/eV/atom
1.0
9.528 0.000 0.000
-4.764 8.251 0.000
0.000 0.000 6.522
Ce Ag Sn
10 2 6
Cartesian
-1.371 2.375 1.631 Ce
-3.393 5.876 4.892 Ce
2.743 0.000 1.631 Ce
1.371 2.375 4.892 Ce
0.000 5.501 0.000 Ce
0.000 5.501 3.261 Ce
4.764 2.750 0.000 Ce
4.764 2.750 3.261 Ce
6.785 0.000 4.892 Ce
3.393 5.876 1.631 Ce
0.000 0.000 0.000 Ag
0.000 0.000 3.261 Ag
-1.762 3.051 4.892 Sn
-3.002 5.200 1.631 Sn
3.523 0.000 4.892 Sn
1.762 3.051 1.631 Sn
6.004 0.000 1.631 Sn
3.002 5.200 4.892 Sn